Density functional theory data (GGA+U) for a relaxed Na4NpNi3O8 crystal. Values from VASP.

Structure (Quantum ESPRESSO input):
```
&SYSTEM
  ibrav = 0, nat = 16, ntyp = 4
/
ATOMIC_SPECIES
Na 22.99 Na.upf
Np 237.00 Np.upf
Ni 58.69 Ni.upf
O 16.00 O.upf
CELL_PARAMETERS angstrom
-6.0709 0.2025 1.5008
-0.4603 -6.4462 -0.9923
4.2924 2.1092 4.0358
ATOMIC_POSITIONS crystal
Na 0.5000 0.0000 0.0000
Na 0.5000 0.0000 0.5000
Na 0.0000 0.0000 0.0000
Na 0.0000 0.0000 0.5000
Np 0.0000 0.5000 0.0000
Ni 0.5000 0.5000 0.0000
Ni 0.5000 0.5000 0.5000
Ni 0.0000 0.5000 0.5000
O 0.2314 0.7140 0.9826
O 0.2314 0.7139 0.4627
O 0.2706 0.3118 0.5412
O 0.7512 0.7140 0.9826
O 0.2488 0.2860 0.0174
O 0.7294 0.6882 0.4588
O 0.7686 0.2861 0.5373
O 0.7686 0.2860 0.0174
```

Results
The calculated total energy is -5.831 eV per atom. The space-group type is R-3m, No. 166.